[1]
The following is a PBE calculation of a relaxed structure of LiAcSn2S4, from Alexandria.

a b c (Å): 4.1006 7.1159 14.1281
angles (deg): 90.00 90.00 106.75
With the nearest neighbours (Å) after each atom.
Positions (direct):
Sn1 0.6308 0.2615 0.0517  6 S 2.80-3.09
Sn2 0.6308 0.2615 0.4483  6 S 2.80-3.09
Sn3 0.3692 0.7385 0.5517  6 S 2.80-3.09
Sn4 0.3692 0.7385 0.9483  6 S 2.80-3.09
S1 0.2811 0.5623 0.3724  1 Li 2.45
S2 0.7189 0.4377 0.6276  1 Li 2.45
S3 0.5497 0.0994 0.2500  2 Li 2.49
S4 0.0000 0.0000 0.5000  4 Sn 2.81
S5 0.7189 0.4377 0.8724  1 Li 2.45
S6 0.0000 0.0000 0.0000  4 Sn 2.81
S7 0.2811 0.5623 0.1276  1 Li 2.45
S8 0.4503 0.9006 0.7500  2 Li 2.49
Li1 0.1535 0.3069 0.2500  4 S 2.45-2.49
Li2 0.8465 0.6931 0.7500  4 S 2.45-2.49
Ac1 0.1118 0.2235 0.7500  6 S 3.01-3.05
Ac2 0.8882 0.7765 0.2500  6 S 3.01-3.05

As for the formation energy without anion corrections: -1094 meV/atom.


[2]
The following is a PBE calculation of a relaxed structure of Mg7Tl2, from Alexandria.

a b c (Å): 5.6665 5.6665 7.7543
angles (deg): 90.00 90.00 120.00
With the nearest neighbours (Å) after each atom.
Positions (direct):
Mg1 0.0000 0.0000 0.0000  6 Mg 3.21, 6 Tl 3.27
Mg2 0.3321 0.0000 0.6651  10 Mg 3.18-3.28, 2 Tl 3.21
Mg3 0.6679 0.0000 0.3349  10 Mg 3.18-3.28, 2 Tl 3.21
Mg4 0.0000 0.3321 0.6651  10 Mg 3.18-3.28, 2 Tl 3.21
Mg5 0.6679 0.6679 0.6651  10 Mg 3.18-3.28, 2 Tl 3.21
Mg6 0.0000 0.6679 0.3349  10 Mg 3.18-3.28, 2 Tl 3.21
Mg7 0.3321 0.3321 0.3349  10 Mg 3.18-3.28, 2 Tl 3.21
Tl1 0.3333 0.6667 0.0000  9 Mg 3.21-3.27, 3 Tl 3.27
Tl2 0.6667 0.3333 0.0000  9 Mg 3.21-3.27, 3 Tl 3.27

The density of states at the Fermi level is 3.69 states/eV per cell. As for the energy of formation from the pure elements: -12 meV/atom.


[3]
The following is a PBE calculation of a relaxed structure of Na2SmAlO4, from Alexandria.

a b c (Å): 3.2719 5.6062 5.8412
angles (deg): 109.40 90.00 90.00
With the nearest neighbours (Å) after each atom.
Positions (direct):
O1 0.0000 0.7832 0.1987  1 Al 1.94
O2 0.0000 0.2168 0.8013  1 Al 1.94
O3 0.5000 0.7901 0.7963  2 Al 2.13, 1 Sm 2.31
O4 0.5000 0.2099 0.2037  2 Al 2.13, 1 Sm 2.31
Na1 0.5000 0.0000 0.5000  6 O 2.39-2.41
Na2 0.0000 0.5000 0.5000  6 O 2.54-2.73
Al1 0.0000 0.0000 0.0000  6 O 1.94-2.13
Sm1 0.5000 0.5000 0.0000  6 O 2.31

As for the formation energy without anion corrections: -2414 meV/atom. The density of states at the Fermi level is 0.00 states/eV per cell.


[4]
The following is a PBE calculation of a relaxed structure of Mg2TcSe, from Alexandria.

a b c (Å): 7.5188 7.5188 5.9721
angles (deg): 50.99 50.99 90.00
With the nearest neighbours (Å) after each atom.
Positions (direct):
Mg1 0.3750 0.3966 0.7500  2 Se 2.64, 2 Mg 2.74, 2 Tc 2.86
Mg2 0.8750 0.8534 0.7500  2 Se 2.64, 2 Mg 2.74, 2 Tc 2.86
Mg3 0.1466 0.6250 0.2500  2 Se 2.64, 2 Mg 2.74, 2 Tc 2.86
Mg4 0.6034 0.1250 0.2500  2 Se 2.64, 2 Mg 2.74, 2 Tc 2.86
Tc1 0.7500 0.2500 0.5000  2 Se 2.72, 4 Mg 2.86
Tc2 0.0000 0.0000 0.0000  2 Se 2.72, 4 Mg 2.86
Se1 0.5000 0.5000 0.0000  4 Mg 2.64, 2 Tc 2.72
Se2 0.2500 0.7500 0.5000  4 Mg 2.64, 2 Tc 2.72

As for the formation energy without anion corrections: 285 meV/atom. The density of states at the Fermi level is 7.41 states/eV per cell.


Values for raw total energy, eV/atom, ordered as above
-4.91, -1.78, -6.28, -3.98